Entry 1:
# Ac3Tl2GaPd6 (GGA-PBE, optimized geometry)
data_Ac3Tl2GaPd6
_chemical_formula_sum 'Ac3 Tl2 Ga1 Pd6'
_cell_length_a 5.999
_cell_length_b 5.999
_cell_length_c 9.036
_cell_angle_alpha 90.00
_cell_angle_beta 90.00
_cell_angle_gamma 120.00
_symmetry_space_group_name_H-M 'P 1'
_symmetry_Int_Tables_number 1
loop_
_symmetry_equiv_pos_as_xyz
'x,y,z'
loop_
_atom_site_label
_atom_site_type_symbol
_atom_site_fract_x
_atom_site_fract_y
_atom_site_fract_z
_atom_site_occupancy
Ac1 Ac 0.333 0.667 0.625 1
Ac2 Ac 0.667 0.333 0.375 1
Ac3 Ac 0.000 0.000 0.000 1
Tl1 Tl 0.667 0.333 0.978 1
Tl2 Tl 0.333 0.667 0.022 1
Ga1 Ga 0.000 0.000 0.500 1
Pd1 Pd 0.654 0.827 0.297 1
Pd2 Pd 0.173 0.346 0.297 1
Pd3 Pd 0.173 0.827 0.297 1
Pd4 Pd 0.827 0.654 0.703 1
Pd5 Pd 0.346 0.173 0.703 1
Pd6 Pd 0.827 0.173 0.703 1
# VASP energy = -4.96 eV/atom
# DOS(E_F) = 3.20 states/eV per cell
# Symmetry = P-3m1, No. 164
# Formation energy from the elements = -687 meV/atom

***

Entry 2:
# Ac3TlGa2Pd9 (GGA-PBE, optimized geometry)
data_Ac3TlGa2Pd9
_chemical_formula_sum 'Ac3 Tl1 Ga2 Pd9'
_cell_length_a 5.960
_cell_length_b 5.960
_cell_length_c 11.621
_cell_angle_alpha 90.00
_cell_angle_beta 90.00
_cell_angle_gamma 120.00
_symmetry_space_group_name_H-M 'P 1'
_symmetry_Int_Tables_number 1
loop_
_symmetry_equiv_pos_as_xyz
'x,y,z'
loop_
_atom_site_label
_atom_site_type_symbol
_atom_site_fract_x
_atom_site_fract_y
_atom_site_fract_z
_atom_site_occupancy
Ac1 Ac 0.333 0.667 0.734 1
Ac2 Ac 0.000 0.000 0.000 1
Ac3 Ac 0.667 0.333 0.266 1
Tl1 Tl 0.000 0.000 0.500 1
Ga1 Ga 0.333 0.667 0.159 1
Ga2 Ga 0.667 0.333 0.841 1
Pd1 Pd 0.840 0.160 0.694 1
Pd2 Pd 0.840 0.681 0.694 1
Pd3 Pd 0.319 0.160 0.694 1
Pd4 Pd 0.681 0.840 0.306 1
Pd5 Pd 0.160 0.319 0.306 1
Pd6 Pd 0.160 0.840 0.306 1
Pd7 Pd 0.500 0.000 0.000 1
Pd8 Pd 0.000 0.500 0.000 1
Pd9 Pd 0.500 0.500 0.000 1
# VASP energy = -5.09 eV/atom
# DOS(E_F) = 4.76 states/eV per cell
# Symmetry = P-3m1, No. 164
# Formation energy from the elements = -594 meV/atom

***

Entry 3:
# AcTmGa2Pd2 (GGA-PBE, optimized geometry)
data_AcTmGa2Pd2
_chemical_formula_sum 'Ac1 Tm1 Ga2 Pd2'
_cell_length_a 4.568
_cell_length_b 4.568
_cell_length_c 7.316
_cell_angle_alpha 90.00
_cell_angle_beta 90.00
_cell_angle_gamma 120.00
_symmetry_space_group_name_H-M 'P 1'
_symmetry_Int_Tables_number 1
loop_
_symmetry_equiv_pos_as_xyz
'x,y,z'
loop_
_atom_site_label
_atom_site_type_symbol
_atom_site_fract_x
_atom_site_fract_y
_atom_site_fract_z
_atom_site_occupancy
Ac1 Ac 0.000 0.000 0.000 1
Tm1 Tm 0.000 0.000 0.500 1
Ga1 Ga 0.667 0.333 0.701 1
Ga2 Ga 0.333 0.667 0.299 1
Pd1 Pd 0.667 0.333 0.297 1
Pd2 Pd 0.333 0.667 0.703 1
# VASP energy = -5.01 eV/atom
# DOS(E_F) = 3.93 states/eV per cell
# Symmetry = P-3m1, No. 164
# Formation energy from the elements = -839 meV/atom

***

Entry 4:
# AcYGa2Pd5 (GGA-PBE, optimized geometry)
data_AcYGa2Pd5
_chemical_formula_sum 'Ac1 Y1 Ga2 Pd5'
_cell_length_a 4.338
_cell_length_b 4.338
_cell_length_c 9.309
_cell_angle_alpha 90.00
_cell_angle_beta 90.00
_cell_angle_gamma 90.00
_symmetry_space_group_name_H-M 'P 1'
_symmetry_Int_Tables_number 1
loop_
_symmetry_equiv_pos_as_xyz
'x,y,z'
loop_
_atom_site_label
_atom_site_type_symbol
_atom_site_fract_x
_atom_site_fract_y
_atom_site_fract_z
_atom_site_occupancy
Ac1 Ac 0.000 0.000 0.500 1
Y1 Y 0.000 0.000 0.000 1
Ga1 Ga 0.500 0.500 0.133 1
Ga2 Ga 0.500 0.500 0.867 1
Pd1 Pd 0.000 0.500 0.265 1
Pd2 Pd 0.500 0.000 0.265 1
Pd3 Pd 0.000 0.500 0.735 1
Pd4 Pd 0.500 0.000 0.735 1
Pd5 Pd 0.500 0.500 0.500 1
# VASP energy = -5.49 eV/atom
# DOS(E_F) = 5.75 states/eV per cell
# Symmetry = P4/mmm, No. 123
# Formation energy from the elements = -760 meV/atom

***

Entry 5:
# Ac2YGa3Pd4 (GGA-PBE, optimized geometry)
data_Ac2YGa3Pd4
_chemical_formula_sum 'Ac2 Y1 Ga3 Pd4'
_cell_length_a 4.409
_cell_length_b 4.409
_cell_length_c 11.460
_cell_angle_alpha 90.00
_cell_angle_beta 90.00
_cell_angle_gamma 90.00
_symmetry_space_group_name_H-M 'P 1'
_symmetry_Int_Tables_number 1
loop_
_symmetry_equiv_pos_as_xyz
'x,y,z'
loop_
_atom_site_label
_atom_site_type_symbol
_atom_site_fract_x
_atom_site_fract_y
_atom_site_fract_z
_atom_site_occupancy
Ac1 Ac 0.500 0.000 0.230 1
Ac2 Ac 0.000 0.500 0.770 1
Y1 Y 0.500 0.500 0.500 1
Ga1 Ga 0.000 0.000 0.500 1
Ga2 Ga 0.500 0.000 0.884 1
Ga3 Ga 0.000 0.500 0.116 1
Pd1 Pd 0.500 0.500 0.000 1
Pd2 Pd 0.000 0.000 0.000 1
Pd3 Pd 0.500 0.000 0.657 1
Pd4 Pd 0.000 0.500 0.343 1
# VASP energy = -5.26 eV/atom
# DOS(E_F) = 6.22 states/eV per cell
# Symmetry = P-4m2, No. 115
# Formation energy from the elements = -808 meV/atom

***

Entry 6:
# AcYGa2Pd2 (GGA-PBE, optimized geometry)
data_AcYGa2Pd2
_chemical_formula_sum 'Ac1 Y1 Ga2 Pd2'
_cell_length_a 4.582
_cell_length_b 4.582
_cell_length_c 7.390
_cell_angle_alpha 90.00
_cell_angle_beta 90.00
_cell_angle_gamma 120.00
_symmetry_space_group_name_H-M 'P 1'
_symmetry_Int_Tables_number 1
loop_
_symmetry_equiv_pos_as_xyz
'x,y,z'
loop_
_atom_site_label
_atom_site_type_symbol
_atom_site_fract_x
_atom_site_fract_y
_atom_site_fract_z
_atom_site_occupancy
Ac1 Ac 0.000 0.000 0.000 1
Y1 Y 0.000 0.000 0.500 1
Ga1 Ga 0.667 0.333 0.705 1
Ga2 Ga 0.333 0.667 0.295 1
Pd1 Pd 0.667 0.333 0.290 1
Pd2 Pd 0.333 0.667 0.710 1
# VASP energy = -5.33 eV/atom
# DOS(E_F) = 4.21 states/eV per cell
# Symmetry = P-3m1, No. 164
# Formation energy from the elements = -830 meV/atom